(1)
Crystalline Ho2TeI3 at its relaxed geometry. Source: the Alexandria database, functional PBE. Values from VASP.

The value obtained for the size of the total moment is 0.00 μB per formula unit. The calculation puts the density of states at the Fermi level at 8.18 states/eV/cell. As for the formation energy without anion corrections: -1.24 eV/atom.

Structure (Quantum ESPRESSO input):
```
&SYSTEM
  ibrav = 0, nat = 12, ntyp = 3
/
ATOMIC_SPECIES
Ho 164.93 Ho.upf
Te 127.60 Te.upf
I 126.90 I.upf
CELL_PARAMETERS angstrom
10.841 -2.110 0.000
10.841 2.110 0.000
-10.386 0.000 10.998
ATOMIC_POSITIONS crystal
Ho 0.085 0.085 0.454
Ho 0.360 0.360 0.151
Ho 0.640 0.640 0.849
Ho 0.915 0.915 0.546
Te 0.101 0.101 0.675
Te 0.899 0.899 0.325
I 0.174 0.174 0.030
I 0.276 0.276 0.391
I 0.456 0.456 0.734
I 0.544 0.544 0.266
I 0.724 0.724 0.609
I 0.826 0.826 0.970
```

***

(2)
Crystalline Ac2BiH2 at its relaxed geometry. Source: the Alexandria database, functional PBE. Values from VASP.

The value obtained for the size of the total moment is 0.00 μB per formula unit. The calculation puts the total energy at -4.467 eV per atom. The calculation puts the density of states at the Fermi level at 2.30 states/eV/cell.

Structure (Quantum ESPRESSO input):
```
&SYSTEM
  ibrav = 0, nat = 5, ntyp = 3
/
ATOMIC_SPECIES
Ac 227.00 Ac.upf
Bi 208.98 Bi.upf
H 1.01 H.upf
CELL_PARAMETERS angstrom
-2.153 2.153 6.553
2.153 -2.153 6.553
2.153 2.153 -6.553
ATOMIC_POSITIONS crystal
Ac 0.145 0.145 0.000
Ac 0.855 0.855 0.000
Bi 0.500 0.500 0.000
H 0.250 0.750 0.500
H 0.750 0.250 0.500
```

***

(3)
Crystalline Ta3W at its relaxed geometry. Source: the Alexandria database, functional PBE. Values from VASP.

The value obtained for the size of the total moment is 0.00 μB per formula unit. The calculation puts the density of states at the Fermi level at 16.94 states/eV/cell. The formation energy comes out at -40 meV per atom.

Structure (Quantum ESPRESSO input):
```
&SYSTEM
  ibrav = 0, nat = 16, ntyp = 2
/
ATOMIC_SPECIES
Ta 180.95 Ta.upf
W 183.84 W.upf
CELL_PARAMETERS angstrom
4.647 -4.628 0.000
4.647 4.628 0.000
-0.009 0.000 6.548
ATOMIC_POSITIONS crystal
Ta 0.000 0.000 0.000
Ta 0.000 0.000 0.496
Ta 0.001 0.496 0.000
Ta 0.001 0.496 0.496
Ta 0.251 0.746 0.251
Ta 0.251 0.746 0.746
Ta 0.496 0.001 0.000
Ta 0.496 0.001 0.496
Ta 0.496 0.496 0.000
Ta 0.746 0.251 0.251
Ta 0.746 0.251 0.746
Ta 0.747 0.747 0.746
W 0.250 0.250 0.250
W 0.250 0.250 0.747
W 0.497 0.497 0.497
W 0.747 0.747 0.250
```

***

(4)
Crystalline Tb2CePb3 at its relaxed geometry. Source: the Alexandria database, functional PBE. Values from VASP.

The value obtained for the size of the total moment is 0.63 μB per formula unit. The calculation puts the density of states at the Fermi level at 7.75 states/eV/cell. The formation energy comes out at -367 meV per atom. Its polymorph energy (0 for the lowest one) is 4.23 kJ/mol of atoms.

Structure (Quantum ESPRESSO input):
```
&SYSTEM
  ibrav = 0, nat = 6, ntyp = 3
/
ATOMIC_SPECIES
Tb 158.93 Tb.upf
Ce 140.12 Ce.upf
Pb 207.20 Pb.upf
CELL_PARAMETERS angstrom
-1.855 3.203 7.928
1.855 -3.203 7.928
1.855 3.203 -7.928
ATOMIC_POSITIONS crystal
Tb 0.166 0.166 0.000
Tb 0.834 0.834 0.000
Ce 0.500 0.500 0.000
Pb 0.000 0.500 0.500
Pb 0.331 0.831 0.500
Pb 0.669 0.169 0.500
```